Below is a geometry-optimized CuRh2Au structure, with properties calculated at the PBE level.

Computed properties:
- ΔE to the lowest computed polymorph: 111 meV per atom
- Density: 13.11 g cm⁻³
- Total magnetic moment: 0.99 μB per formula unit

Cell: 4.833 4.833 4.833 Å, 133.13 133.13 68.46°
Site moments in Bohr magnetons follow the coordinates.
Positions (direct):
Au 0.250 0.750 0.500  0.07
Rh 0.000 0.000 0.000  0.44
Cu 0.750 0.250 0.500  0.06
Rh 0.500 0.500 0.000  0.44